{"formula": "RbCrP2O7", "functional": "PBE+U", "state": "optimized geometry", "lattice": [[-3.110, -9.129, 2.946], [1.575, -2.767, -6.912], [7.950, -2.614, 0.291]], "species": ["O", "O", "O", "O", "O", "O", "O", "O", "O", "O", "O", "O", "O", "O", "O", "O", "O", "O", "O", "O", "O", "O", "O", "O", "O", "O", "O", "O", "Cr", "Cr", "Cr", "Cr", "P", "P", "P", "P", "P", "P", "P", "P", "Rb", "Rb", "Rb", "Rb"], "fractional_positions": [[0.278, 0.557, 0.240], [0.410, 0.854, 0.014], [0.103, 0.680, 0.010], [0.090, 0.854, 0.514], [0.927, 0.625, 0.764], [0.947, 0.325, 0.695], [0.590, 0.146, 0.986], [0.397, 0.680, 0.510], [0.237, 0.915, 0.257], [0.499, 0.012, 0.725], [0.501, 0.988, 0.275], [0.427, 0.375, 0.736], [0.553, 0.325, 0.195], [0.222, 0.557, 0.740], [0.763, 0.085, 0.743], [0.001, 0.012, 0.225], [0.897, 0.320, 0.990], [0.910, 0.146, 0.486], [0.073, 0.375, 0.236], [0.999, 0.988, 0.775], [0.263, 0.915, 0.757], [0.573, 0.625, 0.264], [0.778, 0.443, 0.260], [0.737, 0.085, 0.243], [0.053, 0.675, 0.305], [0.447, 0.675, 0.805], [0.722, 0.443, 0.760], [0.603, 0.320, 0.490], [0.601, 0.239, 0.741], [0.899, 0.239, 0.241], [0.399, 0.761, 0.259], [0.101, 0.761, 0.759], [0.597, 0.129, 0.169], [0.097, 0.871, 0.331], [0.631, 0.432, 0.312], [0.369, 0.568, 0.688], [0.131, 0.568, 0.188], [0.903, 0.129, 0.669], [0.403, 0.871, 0.831], [0.869, 0.432, 0.812], [0.314, 0.186, 0.447], [0.814, 0.814, 0.053], [0.686, 0.814, 0.553], [0.186, 0.186, 0.947]], "final_energy_ry_per_atom": -0.5255, "dos_at_fermi_per_ev_atom": 0.000, "vol_a3_per_atom": 14.03}